No. 1
Re2GePdW: optimized geometry, GGA-PBE.

```
5
Lattice="-4.476 -0.947 -1.206 -0.179 -3.404 3.336 -1.523 3.176 3.159" Properties=species:S:1:pos:R:3 pbc="T T T"
Re -2.238 -0.473 -0.603
Re -0.761 1.588 1.580
W 0.000 0.000 0.000
Ge -0.089 -1.702 1.668
Pd -3.089 -0.588 2.645
```

ΔE_f   1895 meV/atom
Total magnetic moment   0.132 μB per atom
Raw total energy   -38.18 eV/cell

---

No. 2
Tb6DyHo2Tm: optimized geometry, GGA-PBE.

```
20
Lattice="9.070 -1.973 -2.048 0.767 8.472 -1.998 0.767 -2.311 8.392" Properties=species:S:1:pos:R:3 pbc="T T T"
Dy 7.569 -3.537 6.612
Tb 4.058 2.855 0.652
Tb 6.545 1.334 3.695
Tb 4.893 -0.812 5.953
Tb 2.132 4.413 -1.379
Tb 3.936 6.716 1.012
Ho 9.816 2.172 3.375
Tb 5.710 5.001 -1.606
Tb 8.470 -0.224 5.726
Tm 3.034 1.610 3.627
Tb 9.428 4.992 -1.615
Tb 8.592 -0.441 1.853
Ho 0.787 2.017 0.972
Tm 7.569 2.579 0.719
Ho 5.321 -0.090 1.028
Ho 5.281 4.279 3.319
Tb 6.667 -2.528 3.335
Tb 1.175 -0.804 5.961
Dy 3.034 7.725 -2.265
Tb 2.010 4.630 2.493
```

ΔE_f   119 meV/atom
Total magnetic moment   0.000 μB per atom
Raw total energy   -89.64 eV/cell

---

No. 3
Ca9MgP7O28: optimized geometry, GGA-PBE.

```
90
Lattice="10.448 0.000 0.000 5.224 9.049 0.000 5.224 3.016 12.508" Properties=species:S:1:pos:R:3 pbc="T T T"
P 8.020 7.599 1.147
O 18.106 9.941 12.177
O 7.578 6.174 10.738
O 13.670 7.847 6.488
O 6.045 4.240 2.940
O 10.432 1.593 1.340
O 6.649 5.454 8.214
O 7.920 6.139 1.637
O 6.574 3.915 11.166
Mg 10.448 6.032 6.247
O 14.316 5.152 7.891
P 7.775 7.768 5.021
P 10.615 8.882 11.275
P 10.591 9.179 7.401
O 10.465 7.625 7.594
O 11.485 2.292 4.229
P 12.832 4.463 11.275
Ca 12.688 7.256 8.671
O 11.847 9.612 8.214
Ca 8.209 1.224 2.417
O 11.805 8.169 1.637
Ca 15.534 5.527 10.033
P 15.672 9.049 9.672
P 13.288 7.480 5.021
O 6.691 7.005 4.229
O 11.819 5.222 7.594
Ca 18.791 10.689 10.033
O 9.411 8.324 10.483
O 9.023 8.470 1.960
P 5.224 3.016 3.418
O 14.360 6.492 4.484
O 5.263 5.351 0.234
O 14.851 10.272 9.194
P 7.898 4.752 11.275
O 10.345 4.414 4.912
Ca 5.284 6.497 2.417
Ca 10.388 3.481 8.671
O 9.061 5.250 7.594
Ca 12.693 10.929 10.033
O 11.901 6.752 4.912
O 6.612 8.267 1.340
P 10.282 2.849 5.021
O 8.982 3.988 10.483
O 13.272 6.047 1.960
O 9.277 9.822 7.891
O 17.143 9.148 9.194
Ca 2.869 4.545 0.075
O 7.213 4.677 5.923
Ca 2.180 1.328 2.417
O 11.620 3.789 1.637
O 10.552 10.447 11.166
O 5.873 1.693 2.940
O 9.050 3.579 1.960
Ca 8.204 4.897 3.779
Ca 10.587 8.544 3.779
O 10.409 2.335 6.488
Ca 5.370 6.244 6.329
O 9.099 6.931 4.912
O 12.006 8.447 10.738
O 7.753 3.123 7.891
P 10.306 3.146 1.147
O 7.227 1.814 0.234
O 14.219 3.735 11.166
O 11.761 3.476 10.738
P 13.102 4.335 7.401
O 15.228 6.495 12.177
O 10.892 9.511 5.923
O 15.023 7.725 9.194
P 7.652 4.583 7.401
Ca 5.078 0.212 0.075
O 15.672 9.049 11.237
O 7.266 7.915 6.488
Ca 7.726 4.292 0.075
Ca 12.554 4.656 3.779
O 3.182 1.883 0.234
Ca 8.269 7.360 8.671
O 12.952 5.784 10.483
Ca 12.804 1.529 6.329
O 8.891 2.415 4.484
O 8.094 9.190 4.484
O 3.754 3.116 2.940
Ca 13.171 10.324 6.329
Mg 5.224 3.016 12.501
O 13.683 10.710 12.177
P 13.019 7.352 1.147
O 5.224 3.016 4.983
O 13.169 8.801 4.229
O 12.849 3.031 8.214
O 13.239 3.908 5.923
O 14.301 8.238 1.340
```

Total magnetic moment   0.025 μB per atom
Raw total energy   -646.23 eV/cell

---

No. 4
La2Ge7Pd12: optimized geometry, GGA-PBE.

```
21
Lattice="-2.177 2.537 2.162 -3.359 -7.826 5.802 8.561 5.081 2.659" Properties=species:S:1:pos:R:3 pbc="T T T"
Ge 4.070 4.610 4.178
Pd 1.289 1.048 1.874
Pd 5.145 3.712 6.333
Pd 1.927 3.677 3.132
Ge 0.860 1.692 4.370
Ge 3.943 1.733 7.427
Pd 6.571 4.000 3.728
La 4.051 1.404 4.239
Pd -1.269 0.630 3.508
La -1.026 -1.612 6.383
Pd 1.239 -0.872 4.097
Pd 4.295 -0.838 7.114
Ge -0.918 -1.940 3.195
Pd 1.099 -3.884 7.490
Pd 1.786 0.665 6.526
Pd 1.736 -1.256 8.748
Ge 2.165 -1.900 6.252
Pd -2.120 -3.919 4.290
Ge -1.045 -4.818 6.445
Ge -1.088 1.268 1.081
Pd -3.546 -4.208 6.894
```

ΔE_f   -698 meV/atom
Total magnetic moment   0.000 μB per atom
Raw total energy   -119.15 eV/cell